Entry 1:
# Sm2Dy2CBr4Cl

A geometry-optimized Sm2Dy2CBr4Cl structure (GGA-PBE, OQMD via LeMat-Bulk).

Energy above the most stable polymorph in this dataset: 0.006 eV/atom
Total magnetization: 0.17 μB per formula unit
Total DFT energy (no corrections): -5.119 eV/atom

abc: 9.1820 9.1820 7.9604
angles: 103.46 103.46 23.90
Fractional positions:
Sm  0.1419  0.1419  0.0789
Sm  0.8581  0.8581  0.9211
Dy  0.4995  0.4995  0.2081
Dy  0.5005  0.5005  0.7919
C  0.0000  0.0000  0.0000
Br  0.3327  0.3327  0.1843
Br  0.3381  0.3381  0.6378
Br  0.6619  0.6619  0.3622
Br  0.6673  0.6673  0.8157
Cl  0.0000  0.0000  0.5000

***

Entry 2:
# AgPd2Au

A geometry-optimized AgPd2Au structure (GGA-PBE, OQMD via LeMat-Bulk).

Formation energy: -32 meV per atom
Total DFT energy (no corrections): -4.142 eV/atom

abc: 6.4195 6.4195 6.4195
angles: 90.00 90.00 90.00
Fractional positions:
Ag  0.0000  0.0000  0.0000
Ag  0.0000  0.5000  0.5000
Ag  0.5000  0.0000  0.5000
Ag  0.5000  0.5000  0.0000
Pd  0.0000  0.0000  0.5000
Pd  0.0000  0.5000  0.0000
Pd  0.2500  0.2500  0.7500
Pd  0.2500  0.7500  0.2500
Pd  0.5000  0.0000  0.0000
Pd  0.5000  0.5000  0.5000
Pd  0.7500  0.2500  0.2500
Pd  0.7500  0.7500  0.7500
Au  0.2500  0.2500  0.2500
Au  0.2500  0.7500  0.7500
Au  0.7500  0.2500  0.7500
Au  0.7500  0.7500  0.2500

***

Entry 3:
# TaCo6Mo

A geometry-optimized TaCo6Mo structure (GGA-PBE, OQMD via LeMat-Bulk).

Formation energy: -104 meV per atom
Total magnetization: 2.65 μB per formula unit
Total DFT energy (no corrections): -8.271 eV/atom

abc: 4.0994 5.1198 4.4808
angles: 90.00 90.00 90.00
Fractional positions:
Ta  0.0000  0.0000  0.0000
Co  0.0000  0.2517  0.5045
Co  0.0000  0.5000  0.0224
Co  0.0000  0.7483  0.5045
Co  0.5000  0.0000  0.6461
Co  0.5000  0.2585  0.1824
Co  0.5000  0.7415  0.1824
Mo  0.5000  0.5000  0.6832

***

Entry 4:
# TaTlAgSeS2

A geometry-optimized TaTlAgSeS2 structure (GGA-PBE, OQMD via LeMat-Bulk).

Total magnetization: 0.02 μB per formula unit
Total DFT energy (no corrections): -5.250 eV/atom

abc: 7.8589 7.8589 10.2765
angles: 90.00 90.00 153.96
Fractional positions:
Ta  0.0000  0.0000  0.0000
Ta  0.0000  0.0000  0.5000
Tl  0.2637  0.7363  0.7500
Tl  0.7363  0.2637  0.2500
Ag  0.4243  0.5757  0.2500
Ag  0.5757  0.4243  0.7500
Se  0.0621  0.9379  0.2500
Se  0.9379  0.0621  0.7500
S  0.3854  0.6146  0.0202
S  0.3854  0.6146  0.4798
S  0.6146  0.3854  0.5202
S  0.6146  0.3854  0.9798

***

Entry 5:
# Cs2AgBr4

A geometry-optimized Cs2AgBr4 structure (GGA-PBE, OQMD via LeMat-Bulk).

Total DFT energy (no corrections): -2.753 eV/atom

abc: 5.4822 5.4822 17.8409
angles: 90.00 90.00 90.00
Fractional positions:
Cs  0.0000  0.0000  0.1413
Cs  0.0000  0.0000  0.8587
Cs  0.5000  0.5000  0.3587
Cs  0.5000  0.5000  0.6413
Ag  0.0000  0.0000  0.5000
Ag  0.5000  0.5000  0.0000
Br  0.0000  0.0000  0.3452
Br  0.0000  0.0000  0.6548
Br  0.0000  0.5000  0.0000
Br  0.0000  0.5000  0.5000
Br  0.5000  0.0000  0.0000
Br  0.5000  0.0000  0.5000
Br  0.5000  0.5000  0.1548
Br  0.5000  0.5000  0.8452

***

Entry 6:
# ErFeOs

A geometry-optimized ErFeOs structure (GGA-PBE, OQMD via LeMat-Bulk).

Formation energy: 1224 meV per atom
Energy above the most stable polymorph in this dataset: 0.826 eV/atom
Total magnetization: 3.45 μB per formula unit
Total DFT energy (no corrections): -6.809 eV/atom

abc: 6.2665 6.2665 6.2665
angles: 90.00 90.00 90.00
Fractional positions:
Er  0.0000  0.0000  0.0000
Er  0.0000  0.5000  0.5000
Er  0.5000  0.0000  0.5000
Er  0.5000  0.5000  0.0000
Fe  0.2500  0.2500  0.7500
Fe  0.2500  0.7500  0.2500
Fe  0.7500  0.2500  0.2500
Fe  0.7500  0.7500  0.7500
Os  0.2500  0.2500  0.2500
Os  0.2500  0.7500  0.7500
Os  0.7500  0.2500  0.7500
Os  0.7500  0.7500  0.2500

***

Entry 7:
# GdFeSn3

A geometry-optimized GdFeSn3 structure (GGA-PBE, OQMD via LeMat-Bulk).

Total magnetization: 0.00 μB per formula unit
Total DFT energy (no corrections): -5.233 eV/atom

abc: 4.6497 4.6497 10.7965
angles: 90.00 90.00 90.00
Fractional positions:
Gd  0.0000  0.0000  0.0000
Gd  0.5000  0.5000  0.5000
Fe  0.0000  0.0000  0.3271
Fe  0.5000  0.5000  0.8271
Sn  0.0000  0.0000  0.5501
Sn  0.0000  0.5000  0.2451
Sn  0.0000  0.5000  0.7451
Sn  0.5000  0.0000  0.2451
Sn  0.5000  0.0000  0.7451
Sn  0.5000  0.5000  0.0501

***

Entry 8:
# PaBe

A geometry-optimized PaBe structure (GGA-PBE, OQMD via LeMat-Bulk).

Energy above the most stable polymorph in this dataset: 1.163 eV/atom
Total magnetization: 0.12 μB per formula unit
Total DFT energy (no corrections): -4.965 eV/atom

abc: 5.8552 5.8552 5.8552
angles: 90.00 90.00 90.00
Fractional positions:
Pa  0.0000  0.0000  0.0000
Pa  0.0000  0.5000  0.5000
Pa  0.5000  0.0000  0.5000
Pa  0.5000  0.5000  0.0000
Be  0.2500  0.2500  0.2500
Be  0.2500  0.7500  0.7500
Be  0.7500  0.2500  0.7500
Be  0.7500  0.7500  0.2500

***

Entry 9:
# Hf4AlAsN2

A geometry-optimized Hf4AlAsN2 structure (GGA-PBE, OQMD via LeMat-Bulk).

Total magnetization: 0.00 μB per formula unit
Total DFT energy (no corrections): -9.276 eV/atom

abc: 3.2918 3.2918 13.2353
angles: 90.00 90.00 120.00
Fractional positions:
Hf  0.0000  0.0000  0.1438
Hf  0.0000  0.0000  0.8562
Hf  0.6667  0.3333  0.3304
Hf  0.6667  0.3333  0.6696
Al  0.0000  0.0000  0.5000
As  0.6667  0.3333  0.0000
N  0.3333  0.6667  0.2383
N  0.3333  0.6667  0.7617

***

Entry 10:
# B4SbIr

A geometry-optimized B4SbIr structure (GGA-PBE, OQMD via LeMat-Bulk).

Energy above the most stable polymorph in this dataset: 0.109 eV/atom
Total magnetization: 0.00 μB per formula unit
Total DFT energy (no corrections): -5.946 eV/atom

abc: 2.7869 5.5238 8.4170
angles: 90.00 90.00 90.00
Fractional positions:
B  0.0000  0.1545  0.2209
B  0.0000  0.1545  0.7791
B  0.0000  0.8455  0.2209
B  0.0000  0.8455  0.7791
B  0.5000  0.3455  0.2791
B  0.5000  0.3455  0.7209
B  0.5000  0.6545  0.2791
B  0.5000  0.6545  0.7209
Sb  0.0000  0.5000  0.0000
Sb  0.5000  0.0000  0.5000
Ir  0.0000  0.5000  0.5000
Ir  0.5000  0.0000  0.0000

***

Entry 11:
# SmLuTlTe3

A geometry-optimized SmLuTlTe3 structure (GGA-PBE, OQMD via LeMat-Bulk).

Energy above the most stable polymorph in this dataset: 0.000 eV/atom
Total magnetization: 0.01 μB per formula unit
Total DFT energy (no corrections): -4.489 eV/atom

abc: 5.1887 13.6077 11.5871
angles: 90.00 90.00 90.00
Fractional positions:
Sm  0.2500  0.1741  0.0185
Sm  0.2500  0.3259  0.5185
Sm  0.7500  0.6741  0.4815
Sm  0.7500  0.8259  0.9815
Lu  0.2499  0.7339  0.7203
Lu  0.2499  0.7661  0.2203
Lu  0.7501  0.2339  0.7797
Lu  0.7501  0.2661  0.2797
Tl  0.2493  0.0195  0.6827
Tl  0.2493  0.4805  0.1827
Tl  0.7507  0.5195  0.8173
Tl  0.7507  0.9805  0.3173
Te  0.2501  0.1755  0.2953
Te  0.2501  0.3245  0.7953
Te  0.2500  0.5523  0.6000
Te  0.2499  0.6793  0.9650
Te  0.2499  0.8207  0.4650
Te  0.2500  0.9477  0.1000
Te  0.7500  0.0523  0.9000
Te  0.7501  0.1793  0.5350
Te  0.7501  0.3207  0.0350
Te  0.7500  0.4477  0.4000
Te  0.7499  0.6755  0.2047
Te  0.7499  0.8245  0.7047

***

Entry 12:
# Cs2Rb2HgP2

A geometry-optimized Cs2Rb2HgP2 structure (GGA-PBE, OQMD via LeMat-Bulk).

Energy above the most stable polymorph in this dataset: 0.000 eV/atom
Total DFT energy (no corrections): -2.453 eV/atom

abc: 10.2601 10.2601 10.2601
angles: 34.27 34.27 34.27
Fractional positions:
Cs  0.2075  0.2075  0.2075
Cs  0.7925  0.7925  0.7925
Rb  0.3852  0.3852  0.3852
Rb  0.6148  0.6148  0.6148
Hg  0.0000  0.0000  0.0000
P  0.0838  0.0838  0.0838
P  0.9162  0.9162  0.9162

***

Entry 13:
# Nd3Ho2ErFeTe2

A geometry-optimized Nd3Ho2ErFeTe2 structure (GGA-PBE, OQMD via LeMat-Bulk).

Total magnetization: 0.12 μB per formula unit
Total DFT energy (no corrections): -5.383 eV/atom

abc: 4.0552 8.4385 8.4385
angles: 119.99 90.00 90.00
Fractional positions:
Nd  0.0000  0.0000  0.0000
Nd  0.0000  0.1982  0.5988
Nd  0.0000  0.5988  0.1982
Ho  0.5000  0.5988  0.8275
Ho  0.5000  0.8275  0.5988
Er  0.5000  0.3704  0.3704
Fe  0.0000  0.5980  0.5980
Te  0.5000  0.2655  0.9325
Te  0.5000  0.9325  0.2655

***

Entry 14:
# Lu4Nb2Zn3N3

A geometry-optimized Lu4Nb2Zn3N3 structure (GGA-PBE, OQMD via LeMat-Bulk).

Total magnetization: 0.00 μB per formula unit
Total DFT energy (no corrections): -6.477 eV/atom

abc: 5.7271 5.7271 14.3200
angles: 101.76 101.76 60.25
Fractional positions:
Lu  0.0372  0.1952  0.0987
Lu  0.1265  0.3026  0.4013
Lu  0.1952  0.0372  0.5987
Lu  0.3026  0.1265  0.9013
Lu  0.6974  0.8735  0.0987
Lu  0.8048  0.9628  0.4013
Lu  0.8735  0.6974  0.5987
Lu  0.9628  0.8048  0.9013
Nb  0.3561  0.5257  0.0732
Nb  0.4743  0.6439  0.4268
Nb  0.5257  0.3561  0.5732
Nb  0.6439  0.4743  0.9268
Zn  0.1556  0.8444  0.2500
Zn  0.3262  0.4149  0.7509
Zn  0.4149  0.3262  0.2509
Zn  0.5851  0.6738  0.7491
Zn  0.6738  0.5851  0.2491
Zn  0.8444  0.1556  0.7500
N  0.0000  0.5000  0.0000
N  0.1620  0.6694  0.5002
N  0.3306  0.8380  0.9998
N  0.5000  0.0000  0.5000
N  0.6694  0.1620  0.0002
N  0.8380  0.3306  0.4998

***

Entry 15:
# Li2AgPb

A geometry-optimized Li2AgPb structure (GGA-PBE, OQMD via LeMat-Bulk).

Total DFT energy (no corrections): -2.858 eV/atom

abc: 4.7586 4.7586 6.6661
angles: 90.00 90.00 90.00
Fractional positions:
Li  0.0000  0.0000  0.0000
Li  0.0000  0.5000  0.2464
Li  0.5000  0.0000  0.7536
Li  0.5000  0.5000  0.5000
Ag  0.0000  0.0000  0.5000
Ag  0.5000  0.5000  0.0000
Pb  0.0000  0.5000  0.7498
Pb  0.5000  0.0000  0.2502

***

Entry 16:
# HoAuSeO

A geometry-optimized HoAuSeO structure (GGA-PBE, OQMD via LeMat-Bulk).

Energy above the most stable polymorph in this dataset: 0.092 eV/atom
Total magnetization: 0.00 μB per formula unit
Total DFT energy (no corrections): -5.898 eV/atom

abc: 3.9257 3.9257 9.4777
angles: 90.00 90.00 90.00
Fractional positions:
Ho  0.2500  0.2500  0.1160
Ho  0.7500  0.7500  0.8840
Au  0.2500  0.7500  0.5000
Au  0.7500  0.2500  0.5000
Se  0.2500  0.2500  0.7186
Se  0.7500  0.7500  0.2814
O  0.2500  0.7500  0.0000
O  0.7500  0.2500  0.0000

***

Entry 17:
# BiPIrO

A geometry-optimized BiPIrO structure (GGA-PBE, OQMD via LeMat-Bulk).

Energy above the most stable polymorph in this dataset: 1.172 eV/atom
Total magnetization: 0.00 μB per formula unit
Total DFT energy (no corrections): -5.276 eV/atom

abc: 4.4440 4.4440 7.3895
angles: 90.00 90.00 90.00
Fractional positions:
Bi  0.2500  0.7500  0.0000
Bi  0.7500  0.2500  0.0000
P  0.2500  0.2500  0.2597
P  0.7500  0.7500  0.7403
Ir  0.2500  0.2500  0.5556
Ir  0.7500  0.7500  0.4444
O  0.2500  0.7500  0.5000
O  0.7500  0.2500  0.5000

***

Entry 18:
# RbAlCdSe3

A geometry-optimized RbAlCdSe3 structure (GGA-PBE, OQMD via LeMat-Bulk).

Total DFT energy (no corrections): -3.597 eV/atom

abc: 8.0681 8.0681 11.4355
angles: 90.00 90.00 151.18
Fractional positions:
Rb  0.2461  0.7539  0.7500
Rb  0.7539  0.2461  0.2500
Al  0.0335  0.9665  0.2500
Al  0.9665  0.0335  0.7500
Cd  0.5000  0.5000  0.0000
Cd  0.5000  0.5000  0.5000
Se  0.1147  0.8853  0.0737
Se  0.1147  0.8853  0.4263
Se  0.4381  0.5619  0.2500
Se  0.5619  0.4381  0.7500
Se  0.8853  0.1147  0.5737
Se  0.8853  0.1147  0.9263

***

Entry 19:
# LiScOsW

A geometry-optimized LiScOsW structure (GGA-PBE, OQMD via LeMat-Bulk).

Energy above the most stable polymorph in this dataset: 0.000 eV/atom
Total magnetization: 0.00 μB per formula unit
Total DFT energy (no corrections): -8.152 eV/atom

abc: 6.2929 6.2929 6.2929
angles: 90.00 90.00 90.00
Fractional positions:
Li  0.0000  0.0000  0.0000
Li  0.0000  0.5000  0.5000
Li  0.5000  0.0000  0.5000
Li  0.5000  0.5000  0.0000
Sc  0.2500  0.2500  0.7500
Sc  0.2500  0.7500  0.2500
Sc  0.7500  0.2500  0.2500
Sc  0.7500  0.7500  0.7500
Os  0.0000  0.0000  0.5000
Os  0.0000  0.5000  0.0000
Os  0.5000  0.0000  0.0000
Os  0.5000  0.5000  0.5000
W  0.2500  0.2500  0.2500
W  0.2500  0.7500  0.7500
W  0.7500  0.2500  0.7500
W  0.7500  0.7500  0.2500

***

Entry 20:
# K3Sb2W3

A geometry-optimized K3Sb2W3 structure (GGA-PBE, OQMD via LeMat-Bulk).

Total magnetization: 0.00 μB per formula unit
Total DFT energy (no corrections): -5.783 eV/atom

abc: 8.9311 8.9311 8.9311
angles: 35.96 35.96 35.96
Fractional positions:
K  0.0000  0.0000  0.0000
K  0.4077  0.4077  0.4077
K  0.5923  0.5923  0.5923
Sb  0.2587  0.2587  0.2587
Sb  0.7413  0.7413  0.7413
W  0.0000  0.0000  0.5000
W  0.0000  0.5000  0.0000
W  0.5000  0.0000  0.0000

***

Entry 21:
# TaCo5

A geometry-optimized TaCo5 structure (GGA-PBE, OQMD via LeMat-Bulk).

Formation energy: -72 meV per atom
Total magnetization: 5.95 μB per formula unit
Total DFT energy (no corrections): -7.969 eV/atom

abc: 4.6387 4.6387 15.2763
angles: 90.00 90.00 120.00
Fractional positions:
Ta  0.3333  0.6667  0.1511
Ta  0.3333  0.6667  0.3489
Ta  0.6667  0.3333  0.6511
Ta  0.6667  0.3333  0.8489
Co  0.0000  0.0000  0.0859
Co  0.0000  0.0000  0.4141
Co  0.0000  0.0000  0.5859
Co  0.0000  0.0000  0.9141
Co  0.0000  0.5000  0.0000
Co  0.0000  0.5000  0.5000
Co  0.1612  0.3224  0.7500
Co  0.1612  0.8388  0.7500
Co  0.3224  0.1612  0.2500
Co  0.3333  0.6667  0.6269
Co  0.3333  0.6667  0.8731
Co  0.5000  0.0000  0.0000
Co  0.5000  0.0000  0.5000
Co  0.5000  0.5000  0.0000
Co  0.5000  0.5000  0.5000
Co  0.6667  0.3333  0.1269
Co  0.6667  0.3333  0.3731
Co  0.6776  0.8388  0.7500
Co  0.8388  0.1612  0.2500
Co  0.8388  0.6776  0.2500

***

Entry 22:
# CsCuCl3

A geometry-optimized CsCuCl3 structure (GGA-PBE, OQMD via LeMat-Bulk).

Total DFT energy (no corrections): -3.108 eV/atom

abc: 7.2147 7.2147 6.1427
angles: 92.15 92.15 59.38
Fractional positions:
Cs  0.1675  0.1675  0.2499
Cs  0.8325  0.8325  0.7501
Cu  0.5000  0.5000  0.0000
Cu  0.5000  0.5000  0.5000
Cl  0.1926  0.6550  0.2726
Cl  0.3402  0.3402  0.7970
Cl  0.3450  0.8074  0.7274
Cl  0.6550  0.1926  0.2726
Cl  0.6598  0.6598  0.2030
Cl  0.8074  0.3450  0.7274

***

no.,density (kg/m³)
1,6243
2,12998
3,11133
4,7585
5,4294
6,11157
7,8099
8,7943
9,11282
10,9156
11,7408
12,3803
13,8239
14,9419
15,7237
16,10388
17,10199
18,4273
19,11353
20,6896
21,11097
22,3658